Record 1
Below is crystalline Pa4B3PtRh12 at its relaxed geometry, with properties calculated at the PBE level.

Calculated density (Mg/m³): 12.0
Fermi-level density of states (states/eV per cell): 30.6
DFT total energy (eV/atom): -8.104

a b c (Å): 8.7064 8.7064 8.7064
angles (deg): 90.00 90.00 90.00
Space group Im-3m (No. 229)
Unique sites:
Pa  0.2500  0.2500  0.2500
B  0.0000  0.0000  0.5000
Pt  0.0000  0.0000  0.0000
Rh  0.0000  0.0000  0.2818
Rh  0.0000  0.2500  0.5000

Record 2
Below is crystalline La3Sm2Dy6Ho at its relaxed geometry, with properties calculated at the PBE level.

Calculated density (Mg/m³): 7.8
Fermi-level density of states (states/eV per cell): 31.6
DFT total energy (eV/atom): -4.683

a b c (Å): 6.2576 10.8414 11.8858
angles (deg): 90.00 100.10 90.00
Space group C2/m (No. 12)
Unique sites:
La  0.0000  0.0000  0.0000
La  0.0000  0.3332  0.0000
Sm  0.0000  0.1665  0.5000
Dy  0.2481  0.3336  0.7459
Dy  0.2489  0.0000  0.7460
Ho  0.0000  0.5000  0.5000

> The lowest Fermi-level density of states belongs to which entry?

Pa4B3PtRh12